Entry from Alexandria via LeMat-Bulk: an optimized crystal structure of HoCuSi2Pd (PBE).

```
5
Lattice="4.026 0.000 0.000 0.000 4.026 0.000 -2.013 -2.013 5.073" Properties=species:S:1:pos:R:3 pbc="T T T"
Cu 0.000 2.013 2.536
Pd 2.013 0.000 2.536
Si 2.013 2.013 1.162
Si 0.000 0.000 3.910
Ho 0.000 0.000 0.000
```

Computed properties:
ΔE_f (raw): -0.765 eV/atom

---

Entry from Alexandria via LeMat-Bulk: an optimized crystal structure of SbOs3 (PBE).

```
8
Lattice="-2.800 4.043 -3.002 -1.902 -5.439 -0.022 -2.511 0.864 3.505" Properties=species:S:1:pos:R:3 pbc="T T T"
Os -4.239 -0.051 -1.644
Os -2.973 -0.481 2.126
Os -3.933 -3.225 2.115
Os -5.346 -1.185 0.600
Os -3.279 2.693 -1.633
Os -1.866 0.653 -0.119
Sb -2.829 -2.062 -0.139
Sb -4.384 1.530 0.621
```

Computed properties:
ΔE_f (raw): 0.720 eV/atom

---

Entry from Alexandria via LeMat-Bulk: an optimized crystal structure of Zn2RuCl (PBE).

```
4
Lattice="-6.008 0.482 1.331 -5.070 -1.367 3.245 -0.480 2.867 3.004" Properties=species:S:1:pos:R:3 pbc="T T T"
Cl -8.669 1.487 5.686
Zn -10.564 -0.712 4.491
Zn -6.294 0.818 3.876
Ru -2.890 0.496 1.895
```

Computed properties:
ΔE_f (raw): 0.305 eV/atom
Offset from the most stable computed form: 1.49 eV per formula unit

---

Entry from Alexandria via LeMat-Bulk: an optimized crystal structure of Nd6DySe8 (PBE).

```
15
Lattice="7.293 0.000 4.211 2.431 6.876 4.211 0.000 0.000 8.421" Properties=species:S:1:pos:R:3 pbc="T T T"
Nd 0.000 0.000 4.211
Nd 3.646 0.000 6.316
Nd 1.215 3.438 2.105
Nd 3.646 0.000 2.105
Nd 4.862 3.438 4.211
Nd 1.215 3.438 6.316
Se 3.626 5.185 10.561
Se 2.391 1.690 8.421
Se 3.626 5.185 6.281
Se 2.431 1.719 4.211
Se 7.333 5.185 8.421
Se 7.293 5.157 12.632
Se 6.098 1.690 10.561
Se 6.098 1.690 6.281
Dy 0.000 0.000 0.000
```

Computed properties:
ΔE_f (raw): -1.874 eV/atom

---

Entry from Alexandria via LeMat-Bulk: an optimized crystal structure of PmNdSm2 (PBE).

```
4
Lattice="-3.150 -1.678 -0.275 1.210 -1.389 -5.380 4.444 -4.895 2.263" Properties=species:S:1:pos:R:3 pbc="T T T"
Sm 1.080 -2.158 0.800
Sm 0.963 -1.410 -2.425
Nd 2.567 -5.130 1.902
Pm 0.764 -4.998 -1.543
```

Computed properties:
ΔE_f: 43.6 meV/atom
Offset from the most stable computed form: 0.18 eV per formula unit

---

Entry from Alexandria via LeMat-Bulk: an optimized crystal structure of Na3Ag (PBE).

```
4
Lattice="5.369 0.000 0.000 -2.685 4.601 0.157 0.000 2.970 4.476" Properties=species:S:1:pos:R:3 pbc="T T T"
Na 2.685 1.485 2.238
Na 0.000 3.042 1.195
Na 2.685 4.529 3.438
Ag 0.000 0.000 0.000
```

Computed properties:
ΔE_f: 11.5 meV/atom

---

Entry from Alexandria via LeMat-Bulk: an optimized crystal structure of MnSnRu (PBE).

```
6
Lattice="2.886 0.000 0.000 0.000 2.886 0.000 -1.443 -1.443 11.441" Properties=species:S:1:pos:R:3 pbc="T T T"
Ru 0.000 0.000 6.726
Ru 1.443 1.443 4.715
Mn 0.000 0.000 3.220
Mn 1.443 1.443 8.221
Sn 1.443 1.443 1.462
Sn 0.000 0.000 9.980
```

Computed properties:
ΔE_f: 264.5 meV/atom

---

Entry from Alexandria via LeMat-Bulk: an optimized crystal structure of Gd2InAu (PBE).

```
4
Lattice="-2.187 2.042 -2.042 -1.507 -2.992 -1.379 -5.315 0.036 5.730" Properties=species:S:1:pos:R:3 pbc="T T T"
Au -1.847 -0.475 -1.710
Gd -1.232 0.008 1.329
Gd -4.083 0.028 4.402
In -4.505 -0.457 1.155
```

Computed properties:
ΔE_f: -667.7 meV/atom
Offset from the most stable computed form: 0.00 eV per formula unit

---

Entry from Alexandria via LeMat-Bulk: an optimized crystal structure of Cu (PBE).

```
1
Lattice="2.565 0.000 0.000 1.282 2.221 0.000 1.282 0.740 2.094" Properties=species:S:1:pos:R:3 pbc="T T T"
Cu 0.000 0.000 0.000
```

Computed properties:
ΔE_f: 12.1 meV/atom
Offset from the most stable computed form: 0.01 eV per formula unit

---

Entry from Alexandria via LeMat-Bulk: an optimized crystal structure of Hf8AlNi2 (PBE).

```
11
Lattice="-0.964 2.364 -3.913 2.672 -6.149 -3.055 -6.849 -0.583 2.653" Properties=species:S:1:pos:R:3 pbc="T T T"
Al -0.482 1.182 -1.957
Hf 0.234 -1.797 -1.092
Hf -2.046 -0.464 0.274
Hf -2.860 -3.386 -1.469
Hf -0.091 -3.633 -3.644
Hf -3.094 -3.904 -4.589
Hf -2.280 -0.982 -2.846
Hf -5.374 -2.571 -3.223
Hf -5.049 -0.735 -0.671
Ni -0.320 -4.400 -1.261
Ni -3.856 -2.333 0.859
```

Computed properties:
ΔE_f: -107.7 meV/atom

---

Entry from Alexandria via LeMat-Bulk: an optimized crystal structure of Nd4Te2CSe (PBE).

```
8
Lattice="-2.369 0.219 3.401 0.064 -7.315 0.514 5.917 2.713 3.948" Properties=species:S:1:pos:R:3 pbc="T T T"
C -1.153 -3.548 1.958
Nd 4.751 0.045 3.307
Nd 1.229 -4.647 1.155
Nd 3.555 -3.084 5.207
Nd 0.056 -1.299 2.655
Te 1.774 1.466 3.674
Te 2.990 -2.301 2.231
Se 0.000 0.000 0.000
```

Computed properties:
ΔE_f (raw): -1.229 eV/atom

---

Entry from Alexandria via LeMat-Bulk: an optimized crystal structure of InRe2Pb (PBE).

```
4
Lattice="-3.892 -1.086 1.860 1.264 -2.491 1.191 1.946 2.181 5.346" Properties=species:S:1:pos:R:3 pbc="T T T"
Re 1.169 -1.986 1.286
Re 1.700 -0.659 3.172
Pb 0.462 -0.775 5.832
In -1.143 -0.620 2.564
```

Computed properties:
ΔE_f: 920.2 meV/atom
Offset from the most stable computed form: 2.41 eV per formula unit